[1]
A relaxed structure of Y3Ge3Ru, computed with PBE.

Output
total energy = -6.9167 eV/atom
ΔH_f (0 K) = -842 meV per atom

Unit cell a=10.8013 b=4.2846 c=13.8983 alpha=90.00 beta=110.62 gamma=90.00
Space group C2/m (No. 12)
One atom of each set of equivalent atoms:
Y (0.0227, 0.0000, 0.3773) [4 per cell]
Y (0.0996, 0.0000, 0.9202) [4 per cell]
Y (0.2424, 0.0000, 0.2294) [4 per cell]
Ge (0.0445, 0.5000, 0.2391) [4 per cell]
Ge (0.1229, 0.5000, 0.0743) [4 per cell]
Ge (0.1368, 0.5000, 0.5453) [4 per cell]
Ru (0.2455, 0.5000, 0.4128) [4 per cell]

---

[2]
A relaxed structure of SrAg3Cl8, computed with PBE.

Output
ΔE_f (raw) = -0.7218 eV/atom
total energy = -2.8059 eV/atom

Unit cell a=6.7894 b=6.7894 c=8.1419 alpha=90.00 beta=90.00 gamma=120.00
Space group P-3 (No. 147)
One atom of each set of equivalent atoms:
Sr (0.0000, 0.0000, 0.0000) [1 per cell]
Ag (0.0000, 0.0000, 0.5000) [1 per cell]
Ag (0.3333, 0.6667, 0.7207) [2 per cell]
Cl (0.0185, 0.2975, 0.3015) [6 per cell]
Cl (0.3333, 0.6667, 0.0218) [2 per cell]